#P
A relaxed ZnSn2O4 crystal. Source: Alexandria, functional PBE.

abc: 6.5310 6.5310 6.5310
angles: 61.24 61.24 61.24
Last column: nearest neighbours and their distance in Å.
Element x y z (fractional)
Zn  0.9957  0.9957  0.9957  4 O 2.14-2.17
Zn  0.3754  0.3754  0.3754  6 O 2.16-2.29
Sn  0.7565  0.7565  0.7565  4 O 2.34
Sn  0.3742  0.8778  0.3742  6 O 2.15-2.27
Sn  0.3742  0.3742  0.8778  6 O 2.15-2.27
Sn  0.8778  0.3742  0.3742  6 O 2.15-2.27
O  0.1883  0.6057  0.6057  3 Sn 2.15-2.34, 1 Zn 2.16
O  0.6057  0.6057  0.1883  3 Sn 2.15-2.34, 1 Zn 2.16
O  0.6057  0.1883  0.6057  3 Sn 2.15-2.34, 1 Zn 2.16
O  0.6089  0.6089  0.6089  4 Sn 2.21-2.34
O  0.1308  0.1308  0.1308  1 Zn 2.14, 3 Sn 2.27
O  0.1304  0.5959  0.1304  2 Zn 2.17-2.29, 2 Sn 2.22
O  0.1304  0.1304  0.5959  2 Zn 2.17-2.29, 2 Sn 2.22
O  0.5959  0.1304  0.1304  2 Zn 2.17-2.29, 2 Sn 2.22

magnetic moment	0.0	μB/cell
space group	No. 160

#Q
A relaxed ZnSn2O4 crystal. Source: Alexandria, functional PBE.

abc: 7.4045 6.2509 12.3028
angles: 66.18 90.00 90.00
Last column: nearest neighbours and their distance in Å.
Element x y z (fractional)
Zn  0.9742  0.5000  0.2500  4 O 2.00-2.12
Zn  0.0258  0.5000  0.7500  4 O 2.00-2.12
Zn  0.2226  0.0000  0.7500  2 O 1.89
Zn  0.7774  0.0000  0.2500  2 O 1.89
Sn  0.3745  0.3075  0.9411  3 O 2.15-2.20
Sn  0.3745  0.6925  0.5589  3 O 2.15-2.20
Sn  0.6255  0.6925  0.0589  3 O 2.15-2.20
Sn  0.6255  0.3075  0.4411  3 O 2.15-2.20
Sn  0.0000  0.0000  0.0000  6 O 2.09-2.13
Sn  0.0000  0.0000  0.5000  6 O 2.09-2.13
Sn  0.0000  0.5000  0.0000  6 O 2.11-2.13
Sn  0.0000  0.5000  0.5000  6 O 2.11-2.13
O  0.8874  0.3279  0.8998  1 Zn 2.00, 2 Sn 2.09-2.11
O  0.8874  0.6721  0.6002  1 Zn 2.00, 2 Sn 2.09-2.11
O  0.1126  0.6721  0.1002  1 Zn 2.00, 2 Sn 2.09-2.11
O  0.1126  0.3279  0.3998  1 Zn 2.00, 2 Sn 2.09-2.11
O  0.1591  0.1950  0.0722  3 Sn 2.11-2.17
O  0.1591  0.8050  0.4278  3 Sn 2.11-2.17
O  0.8409  0.8050  0.9278  3 Sn 2.11-2.17
O  0.8409  0.1950  0.5722  3 Sn 2.11-2.17
O  0.7783  0.9183  0.1178  1 Zn 1.89, 1 Sn 2.11
O  0.7783  0.0817  0.3822  1 Zn 1.89, 1 Sn 2.11
O  0.1919  0.6072  0.8588  2 Zn 2.12-2.28, 2 Sn 2.13-2.20
O  0.1919  0.3928  0.6412  2 Zn 2.12-2.28, 2 Sn 2.13-2.20
O  0.2217  0.0817  0.8822  1 Zn 1.89, 1 Sn 2.11
O  0.2217  0.9183  0.6178  1 Zn 1.89, 1 Sn 2.11
O  0.8081  0.3928  0.1412  2 Zn 2.12-2.28, 2 Sn 2.13-2.20
O  0.8081  0.6072  0.3588  2 Zn 2.12-2.28, 2 Sn 2.13-2.20

magnetic moment	0.0	μB/cell
space group	No. 13

#R
A relaxed ZnSn2O4 crystal. Source: Alexandria, functional PBE.

abc: 10.1693 3.3008 12.7369
angles: 76.15 90.00 90.00
Last column: nearest neighbours and their distance in Å.
Element x y z (fractional)
Zn  0.6525  0.6024  0.3154  4 O 1.96-2.16
Zn  0.3475  0.6024  0.8154  4 O 1.96-2.16
Zn  0.1162  0.6560  0.2662  4 O 1.97-2.11
Zn  0.8838  0.6560  0.7662  4 O 1.97-2.11
Sn  0.4080  0.0424  0.3822  6 O 2.08-2.15
Sn  0.5920  0.0424  0.8822  6 O 2.08-2.15
Sn  0.0640  0.9772  0.9533  6 O 2.04-2.19
Sn  0.6752  0.3483  0.5893  4 O 2.28-2.45
Sn  0.2161  0.3358  0.6091  3 O 2.12-2.15
Sn  0.3248  0.3483  0.0893  4 O 2.28-2.45
Sn  0.7839  0.3358  0.1091  3 O 2.12-2.15
Sn  0.9360  0.9772  0.4533  6 O 2.04-2.19
O  0.1701  0.8353  0.1014  1 Zn 2.11, 3 Sn 2.13-2.29
O  0.1987  0.5064  0.9206  1 Zn 2.00, 2 Sn 2.18-2.19
O  0.4834  0.4805  0.9495  3 Sn 2.15-2.36, 1 Zn 2.16
O  0.7095  0.9181  0.0202  3 Sn 2.08-2.12
O  0.8013  0.5064  0.4206  1 Zn 2.00, 2 Sn 2.18-2.19
O  0.4360  0.1448  0.7692  2 Zn 1.96, 1 Sn 2.11
O  0.6940  0.6054  0.8138  1 Zn 2.02, 2 Sn 2.12-2.13
O  0.9786  0.1203  0.8039  2 Zn 1.97, 1 Sn 2.04
O  0.5166  0.4805  0.4495  3 Sn 2.15-2.36, 1 Zn 2.16
O  0.9529  0.4296  0.0052  3 Sn 2.10-2.15
O  0.3060  0.6054  0.3138  1 Zn 2.02, 2 Sn 2.12-2.13
O  0.0214  0.1203  0.3039  2 Zn 1.97, 1 Sn 2.04
O  0.5640  0.1448  0.2692  2 Zn 1.96, 1 Sn 2.11
O  0.0471  0.4296  0.5052  3 Sn 2.10-2.15
O  0.8299  0.8353  0.6014  1 Zn 2.11, 3 Sn 2.13-2.29
O  0.2905  0.9181  0.5202  3 Sn 2.08-2.12

magnetic moment	0.0	μB/cell
space group	No. 7

Energetically preferred structure: #R | next structure: +45 meV per atom

#P
A relaxed ZnSn2O4 crystal. Source: Alexandria, functional PBE.

abc: 7.2534 7.2534 7.2534
angles: 53.26 53.26 53.26
Last column: nearest neighbours and their distance in Å.
Element x y z (fractional)
Zn  0.9161  0.9161  0.9161  3 O 1.99
Zn  0.0839  0.0839  0.0839  3 O 1.99
Sn  0.5000  0.5000  0.0000  6 O 2.15-2.19
Sn  0.5000  0.5000  0.5000  6 O 2.62
Sn  0.5000  0.0000  0.5000  6 O 2.15-2.19
Sn  0.0000  0.5000  0.5000  6 O 2.15-2.19
O  0.2774  0.2774  0.2774  3 Sn 2.15
O  0.2382  0.7162  0.2382  1 Zn 1.99, 2 Sn 2.19
O  0.7162  0.2382  0.2382  1 Zn 1.99, 2 Sn 2.19
O  0.7618  0.7618  0.2838  1 Zn 1.99, 2 Sn 2.19
O  0.2838  0.7618  0.7618  1 Zn 1.99, 2 Sn 2.19
O  0.7618  0.2838  0.7618  1 Zn 1.99, 2 Sn 2.19
O  0.2382  0.2382  0.7162  1 Zn 1.99, 2 Sn 2.19
O  0.7226  0.7226  0.7226  3 Sn 2.15

magnetic moment	0.0	μB/cell
space group	No. 166

#Q
A relaxed ZnSn2O4 crystal. Source: Alexandria, functional PBE.

abc: 3.3264 11.5037 10.1977
angles: 90.00 90.00 90.00
Last column: nearest neighbours and their distance in Å.
Element x y z (fractional)
Zn  0.7500  0.2359  0.8075  2 O 1.95-1.98
Zn  0.2500  0.7641  0.1925  2 O 1.95-1.98
Zn  0.7500  0.7359  0.6925  2 O 1.95-1.98
Zn  0.2500  0.2641  0.3075  2 O 1.95-1.98
Sn  0.2500  0.3933  0.5700  6 O 2.07-2.22
Sn  0.7500  0.1067  0.0700  6 O 2.07-2.22
Sn  0.2500  0.8933  0.9300  6 O 2.07-2.22
Sn  0.7500  0.6067  0.4300  6 O 2.07-2.22
Sn  0.7500  0.5918  0.9033  3 O 2.13
Sn  0.2500  0.4082  0.0967  3 O 2.13
Sn  0.7500  0.0918  0.5967  3 O 2.13
Sn  0.2500  0.9082  0.4033  3 O 2.13
O  0.2500  0.9761  0.5979  3 Sn 2.13
O  0.7500  0.0239  0.4021  3 Sn 2.13
O  0.2500  0.4761  0.9021  3 Sn 2.13
O  0.7500  0.5239  0.0979  3 Sn 2.13
O  0.2500  0.1253  0.1922  1 Zn 1.98, 2 Sn 2.09
O  0.7500  0.8747  0.8078  1 Zn 1.98, 2 Sn 2.09
O  0.2500  0.6253  0.3078  1 Zn 1.98, 2 Sn 2.09
O  0.7500  0.3747  0.6922  1 Zn 1.98, 2 Sn 2.09
O  0.2500  0.5749  0.5690  3 Sn 2.09-2.22
O  0.7500  0.4251  0.4310  3 Sn 2.09-2.22
O  0.2500  0.0749  0.9310  3 Sn 2.09-2.22
O  0.7500  0.9251  0.0690  3 Sn 2.09-2.22
O  0.7500  0.7736  0.5062  1 Zn 1.95, 1 Sn 2.07
O  0.2500  0.2264  0.4938  1 Zn 1.95, 1 Sn 2.07
O  0.2500  0.7264  0.0062  1 Zn 1.95, 1 Sn 2.07
O  0.7500  0.2736  0.9938  1 Zn 1.95, 1 Sn 2.07

magnetic moment	0.0	μB/cell
space group	No. 62

#R
A relaxed ZnSn2O4 crystal. Source: Alexandria, functional PBE.

abc: 6.5150 6.5150 6.5150
angles: 121.43 112.60 95.41
Last column: nearest neighbours and their distance in Å.
Element x y z (fractional)
Zn  0.5000  0.5000  0.0000  2 O 2.08
Zn  0.0000  0.5000  0.5000  2 O 2.08
Sn  0.6055  0.8555  0.7500  2 O 2.17
Sn  0.3945  0.1445  0.2500  2 O 2.17
Sn  0.0000  0.0000  0.5000  6 O 2.08-2.13
Sn  0.0000  0.5000  0.0000  6 O 2.08-2.13
O  0.2373  0.2499  0.5127  2 Sn 2.08-2.17
O  0.2113  0.2676  0.9437  1 Zn 2.08, 2 Sn 2.13
O  0.2373  0.7246  0.9874  2 Sn 2.08-2.17
O  0.8239  0.2676  0.5563  1 Zn 2.08, 2 Sn 2.13
O  0.1761  0.7324  0.4437  1 Zn 2.08, 2 Sn 2.13
O  0.7887  0.7324  0.0563  1 Zn 2.08, 2 Sn 2.13
O  0.7627  0.2754  0.0126  2 Sn 2.08-2.17
O  0.7627  0.7501  0.4874  2 Sn 2.08-2.17

magnetic moment	0.0	μB/cell
space group	No. 74

Energetically preferred structure: #R | next structure: +77 meV per atom

#P
A relaxed Zr6Sn2O crystal. Source: Alexandria, functional PBE.

abc: 6.1831 6.1831 9.5836
angles: 90.00 90.01 90.00
Last column: nearest neighbours and their distance in Å.
Element x y z (fractional)
Zr  0.0003  0.0002  0.2500  1 O 2.40
Zr  0.7134  0.7729  0.5000  1 O 2.26
Zr  0.7271  0.7866  0.0001  1 O 2.26
Zr  0.7729  0.2866  0.4999  1 O 2.26
Zr  0.7866  0.2729  0.0000  1 O 2.26
Zr  0.4997  0.5002  0.2500  1 O 2.40
Zr  0.9997  0.9998  0.7500  1 O 2.40
Zr  0.2866  0.2271  0.5000  1 O 2.26
Zr  0.2729  0.2134  0.9999  1 O 2.26
Zr  0.2271  0.7134  0.5001  1 O 2.26
Zr  0.2134  0.7271  0.0000  1 O 2.26
Zr  0.5003  0.4998  0.7500  1 O 2.40
Sn  0.0002  0.4997  0.7500  12 Zr 3.07-3.43
Sn  0.4998  0.9997  0.7500  12 Zr 3.07-3.43
Sn  0.5002  0.0003  0.2500  12 Zr 3.07-3.43
Sn  0.9998  0.5003  0.2500  12 Zr 3.07-3.43
O  0.5000  0.5000  0.0000  6 Zr 2.26-2.40
O  0.0000  0.0000  0.5000  6 Zr 2.26-2.40

magnetic moment	0.0	μB/cell
space group	No. 128

#Q
A relaxed Zr6Sn2O crystal. Source: Alexandria, functional PBE.

abc: 3.5161 7.9369 7.7760
angles: 120.69 90.00 90.00
Last column: nearest neighbours and their distance in Å.
Element x y z (fractional)
Zr  0.5000  0.5849  0.0000  4 Sn 2.97, 6 Zr 3.25-3.26
Zr  0.5000  0.3938  0.4013  1 O 2.87, 4 Sn 2.94-2.98
Zr  0.5000  0.9925  0.5987  1 O 2.87, 4 Sn 2.94-2.98
Zr  0.0000  0.2396  0.0000  2 O 2.24
Zr  0.0000  0.7557  0.7707  2 O 2.80, 2 Sn 3.04-3.10, 1 Zr 3.07
Zr  0.0000  0.9850  0.2293  2 O 2.80, 2 Sn 3.04-3.10, 1 Zr 3.07
Sn  0.0000  0.3216  0.6605  9 Zr 2.94-3.10
Sn  0.0000  0.6611  0.3395  9 Zr 2.94-3.10
O  0.5000  0.0657  0.0000  2 Zr 2.24

magnetic moment	0.0	μB/cell
space group	No. 38

Energetically preferred structure: #P | next structure: +190 meV per atom

#P
A relaxed Zr2SnO crystal. Source: Alexandria, functional PBE.

abc: 6.7625 6.7625 5.9150
angles: 55.14 55.14 90.00
Last column: nearest neighbours and their distance in Å.
Element x y z (fractional)
O  0.5000  0.5000  0.0000  4 Zr 2.12
O  0.2500  0.7500  0.5000  4 Zr 2.12
Sn  0.0000  0.0000  0.0000  8 Zr 3.10-3.25
Sn  0.7500  0.2500  0.5000  8 Zr 3.10-3.25
Zr  0.5138  0.1250  0.2500  2 O 2.12
Zr  0.2362  0.6250  0.2500  2 O 2.12
Zr  0.3750  0.4862  0.7500  2 O 2.12
Zr  0.8750  0.7638  0.7500  2 O 2.12

magnetic moment	0.0	μB/cell
space group	No. 122

#Q
A relaxed Zr2SnO crystal. Source: Alexandria, functional PBE.

abc: 3.3612 3.3612 7.5607
angles: 77.16 77.16 60.00
Last column: nearest neighbours and their distance in Å.
Element x y z (fractional)
O  0.0000  0.0000  0.0000  6 Zr 2.30
Sn  0.5000  0.5000  0.5000  6 Zr 3.10, 6 Sn 3.36
Zr  0.2771  0.2771  0.1687  3 O 2.30
Zr  0.7229  0.7229  0.8313  3 O 2.30

magnetic moment	0.0	μB/cell
space group	No. 166

Energetically preferred structure: #P | next structure: +55 meV per atom